VHCl2F after structural relaxation. Source: Alexandria via LeMat-Bulk, functional PBE+U.

Cell and atoms, written as POSCAR:
```
VHCl2F
1.0
4.694 0.000 0.000
0.000 4.694 0.000
0.000 0.000 3.635
V H Cl F
1 1 2 1
Direct
0.000 0.000 0.000 V
0.000 0.000 0.500 H
0.000 0.500 0.000 Cl
0.500 0.000 0.000 Cl
0.500 0.500 0.500 F
```

Summary:
Total magnetic moment ... 1.0 μB per formula unit
Calculated total energy ... -3.577 eV/atom
SG ... P4/mmm